1.
Below is crystalline BaCrSb2Te at its relaxed geometry, with properties calculated at the GGA-PBE level.

Structure (POSCAR):
```
BaCrSb2Te
1.0
5.103 0.000 0.000
0.000 5.103 0.000
0.000 0.000 6.046
Sb Te Ba Cr
2 1 1 1
direct
0.000 0.500 0.000
0.500 0.000 0.000
0.000 0.000 0.500
0.500 0.500 0.500
0.000 0.000 0.000
```

Space-group type   P4/mmm, No. 123
Energy relative to the elements, uncorrected   -0.324 eV/atom
Energy above the lowest structure with this stoichiometry   0.0 kJ/mol of atoms

2.
Below is crystalline MgReTe at its relaxed geometry, with properties calculated at the GGA-PBE level.

Structure (POSCAR):
```
MgReTe
1.0
7.621 0.005 -0.003
6.702 2.970 -0.007
0.920 -1.181 2.719
Mg Re Te
1 1 1
direct
0.984 0.984 0.016
0.332 0.332 0.668
0.684 0.684 0.316
```

Space-group type   Fmm2, No. 42
Energy relative to the elements, uncorrected   0.680 eV/atom
Energy above the lowest structure with this stoichiometry   37.0 kJ/mol of atoms

3.
Below is crystalline CdCuPtRh at its relaxed geometry, with properties calculated at the GGA-PBE level.

Structure (POSCAR):
```
CdCuPtRh
1.0
4.447 0.000 0.000
2.224 3.851 0.000
2.224 1.284 3.631
Rh Cu Pt Cd
1 1 1 1
direct
0.250 0.250 0.250
0.500 0.500 0.500
0.750 0.750 0.750
0.000 0.000 0.000
```

Space-group type   F-43m, No. 216
Energy relative to the elements   -0.06 eV/f.u.

4.
Below is crystalline LaGe4Pd2 at its relaxed geometry, with properties calculated at the GGA-PBE level.

Structure (POSCAR):
```
LaGe4Pd2
1.0
-4.359 -0.292 -0.986
-0.272 -6.126 3.017
-3.980 7.716 15.308
Ge Pd La
16 8 4
direct
0.250 0.273 0.691
0.750 0.727 0.309
0.750 0.773 0.809
0.250 0.227 0.191
0.250 0.675 0.678
0.750 0.325 0.322
0.750 0.175 0.822
0.250 0.825 0.178
0.250 0.148 0.536
0.750 0.852 0.464
0.750 0.648 0.964
0.250 0.352 0.036
0.250 0.468 0.437
0.750 0.532 0.563
0.750 0.968 0.063
0.250 0.032 0.937
0.250 0.761 0.528
0.750 0.239 0.472
0.750 0.261 0.972
0.250 0.739 0.028
0.250 0.967 0.790
0.750 0.033 0.210
0.750 0.467 0.710
0.250 0.533 0.290
0.750 0.986 0.643
0.250 0.014 0.357
0.250 0.486 0.857
0.750 0.514 0.143
```

Space-group type   Pnma, No. 62
Energy relative to the elements   -3.97 eV/f.u.

5.
Below is crystalline AlCu at its relaxed geometry, with properties calculated at the GGA-PBE level.

Structure (POSCAR):
```
AlCu
1.0
6.803 0.000 0.000
-3.401 5.891 0.000
0.000 0.000 4.460
Al Cu
6 6
direct
0.789 0.063 0.250
0.725 0.789 0.750
0.937 0.725 0.250
0.211 0.937 0.750
0.275 0.211 0.250
0.063 0.275 0.750
0.098 0.470 0.250
0.628 0.098 0.750
0.530 0.628 0.250
0.902 0.530 0.750
0.372 0.902 0.250
0.470 0.372 0.750
```

Space-group type   P6_3/m, No. 176
Energy relative to the elements   -0.09 eV/f.u.

6.
Below is crystalline Al2Bi2Pb at its relaxed geometry, with properties calculated at the GGA-PBE level.

Structure (POSCAR):
```
Al2Bi2Pb
1.0
8.193 0.000 0.000
0.000 8.193 0.000
0.000 0.000 3.962
Pb Bi Al
2 4 4
direct
0.000 0.000 0.000
0.500 0.500 0.000
0.176 0.676 0.500
0.676 0.824 0.500
0.824 0.324 0.500
0.324 0.176 0.500
0.381 0.881 0.000
0.881 0.619 0.000
0.619 0.119 0.000
0.119 0.381 0.000
```

Space-group type   P4/mbm, No. 127
Energy relative to the elements   0.90 eV/f.u.
Energy above the lowest structure with this stoichiometry   0.1 kJ/mol of atoms

DOS at the Fermi energy (computed, states/eV/f.u.): 2.71 2.46 6.51 3.06 0.58 2.57